# 1
The following is a GGA-PBE calculation of a relaxed TaReH crystal, from the Alexandria database.

Results
Fermi-level density of states   2.0 states/eV/f.u.
Total DFT energy (no corrections)   -55.92 eV/cell
ρ   16.90 g/cm³
Total magnetization   0.00 μB/atom
Excess energy over the best structure of this formula in the dataset   0 kJ/mol of formula units

Cell: 3.127 3.127 7.398 Å, 90.00 90.00 90.00°
Atoms (fractional coordinates):
Re1 0.500 0.000 0.610
Re2 0.000 0.500 0.390
Ta1 0.000 0.500 0.827
Ta2 0.500 0.000 0.173
H1 0.000 0.000 0.000
H2 0.500 0.500 0.000

=====

# 2
The following is a GGA-PBE calculation of a relaxed CsSnPb2 crystal, from the Alexandria database.

Results
Fermi-level density of states   1.9 states/eV/f.u.
Total DFT energy (no corrections)   -12.63 eV/cell
ρ   6.76 g/cm³
Total magnetization   0.00 μB/atom
Formation enthalpy at 0 K   -0.0889 eV per atom

Cell: 4.400 5.540 8.292 Å, 62.45 74.62 66.60°
Atoms (fractional coordinates):
Cs1 0.500 0.000 0.000
Pb1 0.272 0.805 0.652
Pb2 0.728 0.195 0.348
Sn1 0.000 0.500 0.500